1.
! Zn2Cr2Ga, optimized geometry, DFT GGA-PBE; values from VASP
&SYSTEM
  ibrav = 0, nat = 10, ntyp = 3
/
ATOMIC_SPECIES
Zn 65.41 Zn.upf
Cr 52.00 Cr.upf
Ga 69.72 Ga.upf
ATOMIC_POSITIONS crystal
Zn 0.181 0.319 0.000
Zn 0.319 0.819 0.000
Zn 0.681 0.181 0.000
Zn 0.819 0.681 0.000
Cr 0.114 0.614 0.500
Cr 0.386 0.114 0.500
Cr 0.614 0.886 0.500
Cr 0.886 0.386 0.500
Ga 0.000 0.000 0.500
Ga 0.500 0.500 0.500
CELL_PARAMETERS angstrom
6.352 0.000 0.000
0.000 6.352 0.000
0.000 0.000 3.572
! Spin magnetization = 0.0 μB per formula unit
! Uncorrected energy = -47.1 eV/cell
! ΔE_f = 0.250 eV per atom



2.
! ZnCrGa, optimized geometry, DFT GGA-PBE; values from VASP
&SYSTEM
  ibrav = 0, nat = 12, ntyp = 3
/
ATOMIC_SPECIES
Zn 65.41 Zn.upf
Cr 52.00 Cr.upf
Ga 69.72 Ga.upf
ATOMIC_POSITIONS crystal
Zn 0.250 0.168 0.000
Zn 0.250 0.668 0.500
Zn 0.750 0.332 0.500
Zn 0.750 0.832 0.000
Cr 0.250 0.149 0.661
Cr 0.250 0.649 0.161
Cr 0.750 0.351 0.161
Cr 0.750 0.851 0.661
Ga 0.250 0.178 0.324
Ga 0.250 0.678 0.824
Ga 0.750 0.322 0.824
Ga 0.750 0.822 0.324
CELL_PARAMETERS angstrom
4.130 0.000 0.000
0.000 4.510 0.000
0.000 0.000 8.911
! Spin magnetization = 0.0 μB per formula unit
! Uncorrected energy = -53.7 eV/cell
! ΔE_f = 0.163 eV per atom



3.
! ZnCrGa, optimized geometry, DFT GGA-PBE; values from VASP
&SYSTEM
  ibrav = 0, nat = 6, ntyp = 3
/
ATOMIC_SPECIES
Zn 65.41 Zn.upf
Cr 52.00 Cr.upf
Ga 69.72 Ga.upf
ATOMIC_POSITIONS crystal
Zn 0.000 0.000 0.000
Zn 0.500 0.500 0.500
Cr 0.000 0.000 0.338
Cr 0.500 0.500 0.838
Ga 0.000 0.000 0.684
Ga 0.500 0.500 0.184
CELL_PARAMETERS angstrom
2.862 0.000 0.000
0.000 2.862 0.000
0.000 0.000 10.868
! Spin magnetization = 2.7 μB per formula unit
! Uncorrected energy = -26.8 eV/cell
! ΔE_f = 0.178 eV per atom



4.
! ZnCrGa, optimized geometry, DFT GGA-PBE; values from VASP
&SYSTEM
  ibrav = 0, nat = 3, ntyp = 3
/
ATOMIC_SPECIES
Zn 65.41 Zn.upf
Cr 52.00 Cr.upf
Ga 69.72 Ga.upf
ATOMIC_POSITIONS crystal
Zn 0.000 0.000 0.000
Cr 0.667 0.333 0.500
Ga 0.333 0.667 0.000
CELL_PARAMETERS angstrom
4.217 0.000 0.000
-2.109 3.652 0.000
0.000 0.000 2.829
! Spin magnetization = 2.7 μB per formula unit
! Uncorrected energy = -13.6 eV/cell
! ΔE_f = 0.107 eV per atom



5.
! ZrZn2CrGa, optimized geometry, DFT GGA-PBE; values from VASP
&SYSTEM
  ibrav = 0, nat = 5, ntyp = 4
/
ATOMIC_SPECIES
Zr 91.22 Zr.upf
Zn 65.41 Zn.upf
Cr 52.00 Cr.upf
Ga 69.72 Ga.upf
ATOMIC_POSITIONS crystal
Zr 0.000 0.000 0.000
Zn 0.000 0.500 0.500
Zn 0.500 0.000 0.500
Cr 0.500 0.500 0.500
Ga 0.500 0.500 0.000
CELL_PARAMETERS angstrom
4.544 0.000 0.000
0.000 4.544 0.000
0.000 0.000 4.521
! Spin magnetization = 0.7 μB per formula unit
! Uncorrected energy = -21.4 eV/cell
! ΔE_f = 0.479 eV per atom



6.
! ZrCr2Ga, optimized geometry, DFT GGA-PBE; values from VASP
&SYSTEM
  ibrav = 0, nat = 16, ntyp = 3
/
ATOMIC_SPECIES
Zr 91.22 Zr.upf
Cr 52.00 Cr.upf
Ga 69.72 Ga.upf
ATOMIC_POSITIONS crystal
Zr 0.000 0.000 0.000
Zr 0.000 0.500 0.250
Zr 0.500 0.000 0.750
Zr 0.500 0.500 0.500
Cr 0.220 0.250 0.625
Cr 0.250 0.720 0.875
Cr 0.250 0.780 0.375
Cr 0.280 0.250 0.125
Cr 0.720 0.750 0.125
Cr 0.750 0.220 0.375
Cr 0.750 0.280 0.875
Cr 0.780 0.750 0.625
Ga 0.000 0.000 0.500
Ga 0.000 0.500 0.750
Ga 0.500 0.000 0.250
Ga 0.500 0.500 0.000
CELL_PARAMETERS angstrom
7.058 0.000 0.000
0.000 7.058 0.000
0.000 0.000 5.262
! Spin magnetization = 1.0 μB per formula unit
! Uncorrected energy = -112.7 eV/cell
! ΔE_f = 0.662 eV per atom